Entry A
Entry from Alexandria: a PBEsol-optimized structure of SrCaCr2 (SCAN).

Cell: 3.736 5.510 5.955 Å, 117.56 108.28 90.00°
Atoms (fractional coordinates):
Sr: 0.471 0.471 0.942
Ca: 0.276 0.776 0.552
Cr: 0.061 0.061 0.121
Cr: 0.693 0.193 0.385

Results
Its symmetry is Imm2. The calculation puts the magnetic moment at 0.04 Bohr magnetons per cell.

---

Entry B
Entry from Alexandria: a PBEsol-optimized structure of SrCaCr2 (SCAN).

Cell: 3.842 3.842 7.605 Å, 90.00 90.00 90.00°
Atoms (fractional coordinates):
Sr: 0.500 0.500 0.000
Ca: 0.500 0.500 0.500
Cr: 0.000 0.000 0.725
Cr: 0.000 0.000 0.275

Results
Its symmetry is P4/mmm. The calculation puts the magnetic moment at 10.08 Bohr magnetons per cell.

---

The most stable arrangement is entry A, and the next structure is 13.8 kJ/mol of atoms less stable.

---

Entry A
Entry from Alexandria: a PBEsol-optimized structure of CaTaCr2 (SCAN).

Cell: 2.881 3.653 6.889 Å, 90.00 98.11 90.00°
Atoms (fractional coordinates):
Cr: 0.083 0.000 0.087
Cr: 0.434 0.500 0.221
Ca: 0.568 0.500 0.777
Ta: 0.915 0.000 0.415

Results
Its symmetry is Pm. The calculation puts the magnetic moment at 0.00 Bohr magnetons per cell.

---

Entry B
Entry from Alexandria: a PBEsol-optimized structure of CaTaCr2 (SCAN).

Cell: 2.963 4.788 5.907 Å, 94.58 90.00 108.02°
Atoms (fractional coordinates):
Cr: 0.756 0.512 0.869
Cr: 0.244 0.488 0.131
Ca: 0.000 0.000 0.500
Ta: 0.500 0.000 0.000

Results
Its symmetry is C2/m. The calculation puts the magnetic moment at 0.00 Bohr magnetons per cell.

---

Entry C
Entry from Alexandria: a PBEsol-optimized structure of CaTaCr2 (SCAN).

Cell: 3.005 4.594 5.527 Å, 114.55 105.77 90.00°
Atoms (fractional coordinates):
Cr: 0.962 0.962 0.925
Cr: 0.300 0.800 0.600
Ca: 0.728 0.228 0.456
Ta: 0.510 0.510 0.019

Results
Its symmetry is Imm2. The calculation puts the magnetic moment at 0.66 Bohr magnetons per cell.

---

The most stable arrangement is entry A, and the next structure is 4.5 kJ/mol of atoms less stable.